First-principles (GGA-PBE) data for SnIr3Se after structural relaxation, as listed in the Alexandria database.

Properties
**Total moment**: 0.00 μB/f.u.
**Energy above the most stable polymorph in this dataset**: 0 meV per atom
**E**: -5.75 eV per atom
**Formation energy from raw total energies**: 1.06 eV per atom
**D(E_F)**: 2.03 states/eV/atom
**V**: 20.23 Å³/atom

a = 4.659 Å, b = 4.659 Å, c = 4.659 Å
α = 90.00°, β = 90.00°, γ = 90.00°
Positions (direct):
Sn 0.000 0.000 0.000
Ir 0.000 0.500 0.500
Ir 0.500 0.000 0.500
Ir 0.500 0.500 0.000
Se 0.500 0.500 0.500